A relaxed EuPuNiRh crystal. Source: the Alexandria database, functional PBE-GGA.

## Properties
energy relative to the elements: -0.155 eV/atom
SG: F-43m
raw total energy: -9.590 eV per atom

Cell and atoms, written as POSCAR:
```
EuPuNiRh
1.0
4.873 0.000 0.000
2.437 4.221 0.000
2.437 1.407 3.979
Eu Ni Rh Pu
1 1 1 1
direct
0.500 0.500 0.500
0.750 0.750 0.750
0.250 0.250 0.250
0.000 0.000 0.000
```

=====

A relaxed ErPaTa4 crystal. Source: the Alexandria database, functional PBE-GGA.

## Properties
energy relative to the elements: 0.171 eV/atom
SG: F-43m
raw total energy: -10.074 eV per atom

Cell and atoms, written as POSCAR:
```
ErPaTa4
1.0
-3.709 0.146 4.299
1.656 -1.469 5.230
0.491 3.961 4.041
Er Pa Ta
1 1 4
direct
0.000 0.000 0.000
0.250 0.250 0.250
0.624 0.624 0.127
0.624 0.127 0.624
0.624 0.624 0.624
0.127 0.624 0.624
```

=====

A relaxed Hf3Zr2Cd crystal. Source: the Alexandria database, functional PBE-GGA.

## Properties
energy relative to the elements: 0.011 eV/atom
SG: Cmmm
raw total energy: -7.968 eV per atom

Cell and atoms, written as POSCAR:
```
Hf3Zr2Cd
1.0
-2.826 -3.297 0.993
2.831 -1.486 3.124
-4.391 4.668 3.001
Hf Zr Cd
3 2 1
direct
0.500 0.167 0.334
0.500 0.500 0.000
0.500 0.833 0.666
0.000 0.666 0.333
0.000 0.334 0.667
0.000 0.000 0.000
```

=====

A relaxed Sn3PI crystal. Source: the Alexandria database, functional PBE-GGA.

## Properties
SG: Pm-3m
raw total energy: -3.427 eV per atom
relative energy among the computed polymorphs: 0 meV/atom
uncorrected formation energy: 0.37 eV/atom

Cell and atoms, written as POSCAR:
```
Sn3PI
1.0
-0.218 -2.987 4.527
2.962 -3.861 -2.405
4.544 2.374 1.785
I P Sn
1 1 3
direct
0.500 0.500 0.500
0.000 0.000 0.000
0.000 0.500 0.000
0.000 0.000 0.500
0.500 0.000 0.000
```

=====

A relaxed LiNd6Fe2 crystal. Source: the Alexandria database, functional PBE-GGA.

## Properties
energy relative to the elements: 0.069 eV/atom
SG: Immm
raw total energy: -5.203 eV per atom

Cell and atoms, written as POSCAR:
```
LiNd6Fe2
1.0
8.177 0.132 -2.961
-4.259 7.132 -2.579
-0.069 -0.132 8.697
Li Nd Fe
2 12 4
direct
0.000 0.500 0.500
0.000 0.000 0.000
0.524 0.709 0.815
0.476 0.291 0.185
0.105 0.291 0.815
0.895 0.709 0.185
0.790 0.782 0.572
0.210 0.218 0.428
0.210 0.782 0.992
0.790 0.218 0.008
0.699 0.389 0.690
0.301 0.611 0.310
0.301 0.991 0.690
0.699 0.009 0.310
0.500 0.394 0.894
0.500 0.606 0.106
0.613 0.000 0.613
0.387 0.000 0.387
```

=====

A relaxed CdBrN3 crystal. Source: the Alexandria database, functional PBE-GGA.

## Properties
SG: Pm-3m
raw total energy: -3.066 eV per atom
uncorrected formation energy: 2.45 eV/atom

Cell and atoms, written as POSCAR:
```
CdBrN3
1.0
3.958 0.000 0.000
0.000 3.958 0.000
0.000 0.000 3.958
N Br Cd
3 1 1
direct
0.000 0.500 0.000
0.000 0.000 0.500
0.500 0.000 0.000
0.000 0.000 0.000
0.500 0.500 0.500
```